[1]
The following is a PBE calculation of crystalline Tb2HPd6Au at its relaxed geometry, from the Alexandria database.

Cell and atoms, written as POSCAR:
```
Tb2HPd6Au
1.0
5.5546 0.0192 -0.1646
-0.0327 7.1386 -0.9774
2.6831 2.8775 3.9190
Pd Tb H Au
6 2 1 1
direct
0.8318 0.3640 0.9548
0.6811 0.6361 0.5325
0.2999 0.2652 0.0338
0.7001 0.7348 0.9662
0.1682 0.6360 0.0452
0.3189 0.3639 0.4675
0.2432 0.8118 0.4317
0.7568 0.1882 0.5682
0.5000 0.5000 0.0000
0.0000 0.0000 0.0000
```

Total magnetization = 0.0 Bohr magnetons per cell
Raw total energy = -5.311 eV/atom
D(E_F) = 0.29 states/eV/atom
V = 174 Å³/cell
Space-group type = C2/m, No. 12
ρ = 11.0 Mg/m³

=====

[2]
The following is a PBE calculation of crystalline TiHPd2Au at its relaxed geometry, from the Alexandria database.

Cell and atoms, written as POSCAR:
```
TiHPd2Au
1.0
-1.5151 3.5909 1.0305
0.5222 -0.8976 3.8953
3.7569 1.6224 -0.1298
H Pd Ti Au
1 2 1 1
direct
0.0000 0.0000 0.0000
0.5000 0.0000 0.0000
0.0000 0.5000 0.0000
0.0000 0.0000 0.5000
0.5000 0.5000 0.5000
```

Total magnetization = 0.0 Bohr magnetons per cell
Raw total energy = -5.272 eV/atom
D(E_F) = 1.22 states/eV/atom
V = 67 Å³/cell
Space-group type = P4/mmm, No. 123
ρ = 11.4 Mg/m³

=====

[3]
The following is a PBE calculation of crystalline Tl2HPdAu at its relaxed geometry, from the Alexandria database.

Cell and atoms, written as POSCAR:
```
Tl2HPdAu
1.0
-3.0158 -4.6061 -0.6912
4.5990 -2.8145 -1.3104
0.4508 -0.7859 3.2703
H Au Pd Tl
1 1 1 2
direct
0.0000 0.0000 0.5000
0.5000 0.5000 0.5000
0.0000 0.0000 0.0000
0.0000 0.5000 0.0000
0.5000 0.0000 0.0000
```

Total magnetization = 0.0 Bohr magnetons per cell
Raw total energy = -3.276 eV/atom
D(E_F) = 0.28 states/eV/atom
V = 104 Å³/cell
Space-group type = P4/mmm, No. 123
ρ = 11.3 Mg/m³

=====

[4]
The following is a PBE calculation of crystalline Tl3H2Pd9Au at its relaxed geometry, from the Alexandria database.

Cell and atoms, written as POSCAR:
```
Tl3H2Pd9Au
1.0
-3.2451 4.6134 -1.0939
-0.7273 -4.8130 -3.0522
-6.0473 -2.8474 5.9311
Pd H Au Tl
9 2 1 3
direct
0.0000 0.5000 0.0000
0.5000 0.0000 0.0000
0.3362 0.1681 0.7394
0.1681 0.8319 0.2606
0.5000 0.5000 0.0000
0.8319 0.6638 0.7394
0.1681 0.3362 0.2606
0.8319 0.1681 0.7394
0.6638 0.8319 0.2606
0.3333 0.6667 0.1329
0.6667 0.3333 0.8671
0.0000 0.0000 0.5000
0.6667 0.3333 0.3053
0.3333 0.6667 0.6947
0.0000 0.0000 0.0000
```

Total magnetization = 0.0 Bohr magnetons per cell
Raw total energy = -4.367 eV/atom
D(E_F) = 0.50 states/eV/atom
V = 255 Å³/cell
Space-group type = P-3m1, No. 164
ρ = 11.5 Mg/m³

=====

[5]
The following is a PBE calculation of crystalline Tl2HPdAu at its relaxed geometry, from the Alexandria database.

Cell and atoms, written as POSCAR:
```
Tl2HPdAu
1.0
-4.8916 -2.0188 0.6492
1.9743 -4.9312 -0.4584
0.4908 -0.1142 3.3430
Pd H Au Tl
1 1 1 2
direct
0.0000 0.0000 0.5000
0.0000 0.0000 0.0000
0.5000 0.5000 0.5000
0.5000 0.0000 0.0000
0.0000 0.5000 0.0000
```

Total magnetization = 0.0 Bohr magnetons per cell
Raw total energy = -3.265 eV/atom
D(E_F) = 0.30 states/eV/atom
V = 96 Å³/cell
Space-group type = P4/mmm, No. 123
ρ = 12.3 Mg/m³

=====

[6]
The following is a PBE calculation of crystalline VHPd2Au at its relaxed geometry, from the Alexandria database.

Cell and atoms, written as POSCAR:
```
VHPd2Au
1.0
4.0029 0.0000 0.0000
0.0000 4.0029 0.0000
0.0000 0.0000 4.0983
Au H Pd V
1 1 2 1
direct
0.5000 0.5000 0.5000
0.0000 0.0000 0.0000
0.5000 0.0000 0.0000
0.0000 0.5000 0.0000
0.0000 0.0000 0.5000
```

Total magnetization = 2.9 Bohr magnetons per cell
Raw total energy = -5.311 eV/atom
D(E_F) = 1.02 states/eV/atom
V = 66 Å³/cell
Space-group type = P4/mmm, No. 123
ρ = 11.7 Mg/m³

=====

[7]
The following is a PBE calculation of crystalline HPdW2Au at its relaxed geometry, from the Alexandria database.

Cell and atoms, written as POSCAR:
```
HPdW2Au
1.0
-1.2430 0.0587 4.6628
-3.2646 -3.8201 -0.8222
3.4887 -3.1903 0.9702
Pd H Au W
1 1 1 2
direct
0.0000 0.0000 0.0000
0.5000 0.5000 0.5000
0.0000 0.5000 0.0000
0.5000 0.0000 0.0000
0.0000 0.0000 0.5000
```

Total magnetization = 3.5 Bohr magnetons per cell
Raw total energy = -5.033 eV/atom
D(E_F) = 0.80 states/eV/atom
V = 119 Å³/cell
Space-group type = P4/mmm, No. 123
ρ = 9.4 Mg/m³

=====

[8]
The following is a PBE calculation of crystalline HPdW2Au at its relaxed geometry, from the Alexandria database.

Cell and atoms, written as POSCAR:
```
HPdW2Au
1.0
4.9379 0.0000 0.0000
0.0000 5.0551 0.0000
0.0000 0.0000 4.9379
Pd W H Au
1 2 1 1
direct
0.0000 0.5000 0.0000
0.0000 0.0000 0.5000
0.5000 0.0000 0.0000
0.5000 0.5000 0.5000
0.0000 0.0000 0.0000
```

Total magnetization = 3.1 Bohr magnetons per cell
Raw total energy = -4.748 eV/atom
D(E_F) = 1.07 states/eV/atom
V = 123 Å³/cell
Space-group type = P4/mmm, No. 123
ρ = 9.1 Mg/m³